No. 1
An optimized crystal structure of TaTlOs2, computed with PBE.

Properties
electronic total energy = -8.336 eV per atom

Cell and atoms, written as POSCAR:
```
TaTlOs2
1.0
0.000 3.243 3.243
3.243 0.000 3.243
3.243 3.243 0.000
Ta Tl Os
1 1 2
Direct
0.000 0.000 0.000 Ta
0.750 0.750 0.750 Tl
0.250 0.250 0.250 Os
0.500 0.500 0.500 Os
```


No. 2
An optimized crystal structure of FeCoGePt, computed with PBE.

Properties
electronic total energy = -6.585 eV per atom

Cell and atoms, written as POSCAR:
```
FeCoGePt
1.0
0.000 3.002 3.002
3.002 0.000 3.002
3.002 3.002 0.000
Fe Co Ge Pt
1 1 1 1
Direct
0.000 0.000 0.000 Fe
0.750 0.750 0.750 Co
0.500 0.500 0.500 Ge
0.250 0.250 0.250 Pt
```


No. 3
An optimized crystal structure of HoB2Mo2, computed with PBE.

Properties
electronic total energy = -8.267 eV per atom

Cell and atoms, written as POSCAR:
```
HoB2Mo2
1.0
-1.834 1.834 5.105
1.834 -1.834 5.105
1.834 1.834 -5.105
Ho B Mo
1 2 2
Direct
0.000 0.000 0.000 Ho
0.410 0.410 0.000 B
0.590 0.590 0.000 B
0.250 0.750 0.500 Mo
0.750 0.250 0.500 Mo
```


No. 4
An optimized crystal structure of Pr2Sm2CF5, computed with PBE.

Properties
electronic total energy = -6.369 eV per atom

Cell and atoms, written as POSCAR:
```
Pr2Sm2CF5
1.0
7.447 -1.847 0.000
7.447 1.847 0.000
-2.973 0.000 6.278
Pr Sm C F
2 2 1 5
Direct
0.005 0.005 0.260 Pr
0.995 0.995 0.740 Pr
0.320 0.320 0.318 Sm
0.680 0.680 0.682 Sm
0.500 0.500 0.500 C
0.182 0.182 0.915 F
0.187 0.187 0.459 F
0.500 0.500 0.000 F
0.813 0.813 0.541 F
0.818 0.818 0.085 F
```


> The highest electronic total energy belongs to which entry?

Pr2Sm2CF5


> The lowest electronic total energy belongs to which entry?

TaTlOs2